Compound: PbSO2
Source: Alexandria
Functional: PBEsol
Structure: relaxed

Output
ρ (Mg/m³): 6.40
E_form (uncorrected) (meV/atom): -417
Magnetic moment (Bohr magnetons per cell): 2.9

Lattice parameters (Å, degrees): 3.5829 3.5829 18.9908 90.00 90.00 120.00
Closest atoms and distances in Å follow each position.
Space group R-3m (No. 166, hexagonal axes)
Inequivalent atoms, fractional coordinates:
1 Pb 0.0000 0.0000 0.0000 (multiplicity 3)  6 O 2.50
2 S 0.0000 0.0000 0.5000 (multiplicity 3)  2 O 1.75
3 O 0.0000 0.0000 0.4077 (multiplicity 6)  1 S 1.75



Compound: SrMnV2Ag2O8
Source: Alexandria
Functional: PBEsol
Structure: relaxed

Output
ρ (Mg/m³): 5.32
E_form (uncorrected) (meV/atom): -1894
Magnetic moment (Bohr magnetons per cell): 20.0

Lattice parameters (Å, degrees): 9.8054 5.5592 13.4837 90.00 91.01 90.00
Closest atoms and distances in Å follow each position.
Space group C2/c (No. 15)
Inequivalent atoms, fractional coordinates:
1 Sr 0.0000 0.0881 0.2500 (multiplicity 4)  6 O 2.52-2.58
2 Mn 0.0000 0.0000 0.0000 (multiplicity 4)  6 O 2.04-2.19
3 V 0.1753 0.4564 0.8718 (multiplicity 8)  4 O 1.70-1.74
4 Ag 0.1574 0.4445 0.5978 (multiplicity 8)  2 O 2.17-2.22
5 O 0.0827 0.1923 0.8847 (multiplicity 8)  1 V 1.74
6 O 0.1084 0.3153 0.4451 (multiplicity 8)  1 V 1.74
7 O 0.1541 0.0865 0.0973 (multiplicity 8)  1 V 1.73
8 O 0.1624 0.4454 0.2522 (multiplicity 8)  1 V 1.70



Compound: KSb2TeCl
Source: Alexandria
Functional: PBEsol
Structure: relaxed

Output
ρ (Mg/m³): 4.58
E_form (uncorrected) (meV/atom): 247
Magnetic moment (Bohr magnetons per cell): 0.0

Lattice parameters (Å, degrees): 5.3166 5.3166 5.7210 90.00 90.00 90.00
Closest atoms and distances in Å follow each position.
Space group P4/mmm (No. 123)
Inequivalent atoms, fractional coordinates:
1 K 0.0000 0.0000 0.0000 (multiplicity 1)  4 Te 3.76, 8 Sb 3.91
2 Sb 0.0000 0.5000 0.5000 (multiplicity 2)  2 Cl 2.66
3 Te 0.5000 0.5000 0.0000 (multiplicity 1)  2 Cl 2.86
4 Cl 0.5000 0.5000 0.5000 (multiplicity 1)  4 Sb 2.66, 2 Te 2.86



Compound: Al4ZnS7
Source: Alexandria
Functional: PBEsol
Structure: relaxed

Output
ρ (Mg/m³): 2.15
E_form (uncorrected) (meV/atom): -957
Magnetic moment (Bohr magnetons per cell): 0.0

Lattice parameters (Å, degrees): 15.2371 6.5432 6.1702 90.00 90.00 90.00
Closest atoms and distances in Å follow each position.
Space group Pmn2_1 (No. 31)
Inequivalent atoms, fractional coordinates:
1 Al 0.1254 0.1527 0.0000 (multiplicity 4)  4 S 2.20-2.31
2 Al 0.2446 0.6739 0.0008 (multiplicity 4)  4 S 2.20-2.32
3 Zn 0.0000 0.2537 0.4661 (multiplicity 2)  3 S 2.26-2.27
4 S 0.0000 0.3214 0.1060 (multiplicity 2)  1 Zn 2.27, 2 Al 2.30
5 S 0.1268 0.8345 0.1147 (multiplicity 4)  2 Al 2.20
6 S 0.1290 0.1839 0.6311 (multiplicity 4)  1 Zn 2.26, 2 Al 2.28-2.29
7 S 0.2428 0.3414 0.1268 (multiplicity 4)  3 Al 2.31-2.32



Compound: Fe2HgSe
Source: Alexandria
Functional: PBEsol
Structure: relaxed

Output
ρ (Mg/m³): 9.93
E_form (uncorrected) (meV/atom): 202
Magnetic moment (Bohr magnetons per cell): 13.0

Lattice parameters (Å, degrees): 3.0168 3.0168 24.9067 90.00 90.00 120.00
Closest atoms and distances in Å follow each position.
Space group R3m (No. 160, hexagonal axes)
Inequivalent atoms, fractional coordinates:
1 Fe 0.0000 0.0000 0.0000 (multiplicity 3)  3 Fe 2.37
2 Fe 0.0000 0.0000 0.2687 (multiplicity 3)  3 Se 2.36, 3 Fe 2.37
3 Hg 0.0000 0.0000 0.7544 (multiplicity 3)  3 Fe 2.79, 6 Hg 3.02
4 Se 0.0000 0.0000 0.5384 (multiplicity 3)  3 Fe 2.36



Compound: Li2SnBPO7
Source: Alexandria
Functional: PBEsol
Structure: relaxed

Output
ρ (Mg/m³): 3.13
E_form (uncorrected) (meV/atom): -2115
Magnetic moment (Bohr magnetons per cell): 0.1

Lattice parameters (Å, degrees): 5.0836 6.4366 9.2907 90.00 93.52 90.00
Closest atoms and distances in Å follow each position.
Space group P2_1/m (No. 11)
Inequivalent atoms, fractional coordinates:
1 Li 0.2493 0.0234 0.1535 (multiplicity 4)  3 O 1.92-2.04
2 Sn 0.2807 0.7500 0.6585 (multiplicity 2)  6 O 2.03-2.09
3 B 0.2431 0.7500 0.9305 (multiplicity 2)  3 O 1.33-1.44
4 P 0.2274 0.2500 0.5714 (multiplicity 2)  4 O 1.53-1.56
5 O 0.0260 0.7500 0.8237 (multiplicity 2)  1 B 1.44
6 O 0.0763 0.7500 0.4625 (multiplicity 2)  1 P 1.56
7 O 0.2162 0.7500 0.0718 (multiplicity 2)  1 B 1.33
8 O 0.3106 0.0636 0.6662 (multiplicity 4)  1 P 1.53
9 O 0.3535 0.2500 0.4250 (multiplicity 2)  1 P 1.54
10 O 0.4838 0.7500 0.8606 (multiplicity 2)  1 B 1.42



Compound: MgCd3C
Source: Alexandria
Functional: PBEsol
Structure: relaxed

Output
DFT formation energy (eV per atom): 0.77
ρ (Mg/m³): 6.23
Magnetic moment (Bohr magnetons per cell): 0.0

Lattice parameters (Å, degrees): 4.6339 4.6339 4.6339 90.00 90.00 90.00
Closest atoms and distances in Å follow each position.
Space group Pm-3m (No. 221)
Inequivalent atoms, fractional coordinates:
1 Mg 0.0000 0.0000 0.0000 (multiplicity 1)  12 Cd 3.28
2 Cd 0.0000 0.5000 0.5000 (multiplicity 3)  2 C 2.32
3 C 0.5000 0.5000 0.5000 (multiplicity 1)  6 Cd 2.32



Compound: MnCoSb3
Source: Alexandria
Functional: PBEsol
Structure: relaxed

Output
ρ (Mg/m³): 6.87
E_form (uncorrected) (meV/atom): 634
Magnetic moment (Bohr magnetons per cell): 3.4

Lattice parameters (Å, degrees): 4.8737 4.8737 4.8737 90.00 90.00 90.00
Closest atoms and distances in Å follow each position.
Space group Pm-3m (No. 221)
Inequivalent atoms, fractional coordinates:
1 Mn 0.0000 0.0000 0.0000 (multiplicity 1)  12 Sb 3.45
2 Co 0.5000 0.5000 0.5000 (multiplicity 1)  6 Sb 2.44
3 Sb 0.0000 0.5000 0.5000 (multiplicity 3)  2 Co 2.44



Q: What is the formula in the sixth record?
A: Li2SnBPO7



Q: Number 5 is which compound?
A: Fe2HgSe



Q: Look up the magnetic moment of the sixth one.
A: 0.1 Bohr magnetons per cell